Entry from the Alexandria database: an optimized crystal structure of KMg2NiF8 (PBE with a Hubbard U).

Cell: 4.9442 4.9611 7.0341 Å, 80.81 81.03 79.71°
Closest atoms and distances in Å follow each position.
Space group P-1 (No. 2)
Symmetry-distinct sites (fractional):
K1 0.0000 0.0000 0.0000 [1 per cell]  6 F 2.58
Mg1 0.4510 0.4507 0.2284 [2 per cell]  5 F 1.94-2.03
Ni1 0.0000 0.0000 0.5000 [1 per cell]  6 F 1.81-1.95
F1 0.2057 0.7659 0.6959 [2 per cell]  1 Mg 1.94, 1 Ni 1.95
F2 0.2329 0.7901 0.3053 [2 per cell]  1 Mg 1.94, 1 Ni 1.95
F3 0.2451 0.2396 0.4585 [2 per cell]  1 Ni 1.81, 1 Mg 2.02
F4 0.3391 0.3380 0.0022 [2 per cell]  2 Mg 1.95-2.03

DFT total energy   -54.72 eV/f.u.
Total magnetic moment   0.92 μB per formula unit